[1]
# RbAl2Cd2

RbAl2Cd2 after structural relaxation (GGA-PBE, Alexandria).

Properties
Symmetry = No. 127
Energy above the lowest structure with this stoichiometry = 53 meV/atom
Density of states at the Fermi level = 2.1 states/eV/f.u.
ΔE_f = 0.85 eV per formula unit
Magnetic moment = 0.00 Bohr magnetons per cell
Density = 4.80 g cm⁻³

Unit cell a=9.138 b=9.138 c=3.021 alpha=90.00 beta=90.00 gamma=90.00
Fractional coordinates of all 10 atoms:
Rb (0.000, 0.000, 0.000)
Rb (0.500, 0.500, 0.000)
Al (0.352, 0.148, 0.500)
Al (0.852, 0.352, 0.500)
Al (0.648, 0.852, 0.500)
Al (0.148, 0.648, 0.500)
Cd (0.359, 0.859, 0.000)
Cd (0.859, 0.641, 0.000)
Cd (0.141, 0.359, 0.000)
Cd (0.641, 0.141, 0.000)



[2]
# La6Tb3Y

La6Tb3Y after structural relaxation (GGA-PBE, Alexandria).

Properties
Symmetry = No. 14
Energy above the lowest structure with this stoichiometry = 59 meV/atom
Density of states at the Fermi level = 12.9 states/eV/f.u.
ΔE_f = 1.84 eV per formula unit
Magnetic moment = 0.00 Bohr magnetons per cell
Density = 6.52 g cm⁻³

Unit cell a=6.049 b=9.756 c=12.078 alpha=90.00 beta=90.27 gamma=90.00
Fractional coordinates of all 20 atoms:
Y (0.000, 0.000, 0.000)
Y (0.500, 0.500, 0.500)
Tb (0.000, 0.000, 0.500)
Tb (0.500, 0.500, 0.000)
Tb (0.960, 0.301, 0.252)
Tb (0.460, 0.199, 0.752)
Tb (0.540, 0.801, 0.248)
Tb (0.040, 0.699, 0.748)
La (0.001, 0.350, 0.906)
La (0.001, 0.349, 0.596)
La (0.999, 0.650, 0.094)
La (0.501, 0.151, 0.096)
La (0.499, 0.849, 0.904)
La (0.499, 0.850, 0.594)
La (0.440, 0.451, 0.249)
La (0.940, 0.049, 0.749)
La (0.560, 0.549, 0.751)
La (0.999, 0.651, 0.404)
La (0.060, 0.951, 0.251)
La (0.501, 0.150, 0.406)



[3]
# ReAs2Br

ReAs2Br after structural relaxation (GGA-PBE, Alexandria).

Properties
Symmetry = No. 122
Energy above the lowest structure with this stoichiometry = 300 meV/atom
Density of states at the Fermi level = 0.5 states/eV/f.u.
Magnetic moment = 0.00 Bohr magnetons per cell
ΔE_f (raw) = 445 meV/atom
Density = 6.17 g cm⁻³

Unit cell a=6.447 b=6.447 c=7.058 alpha=62.82 beta=62.82 gamma=90.00
Fractional coordinates of all 8 atoms:
Br (0.500, 0.500, 0.000)
Br (0.250, 0.750, 0.500)
As (0.875, 0.963, 0.750)
As (0.037, 0.625, 0.250)
As (0.713, 0.125, 0.250)
As (0.375, 0.287, 0.750)
Re (0.000, 0.000, 0.000)
Re (0.750, 0.250, 0.500)



[4]
# SmEuTmSn

SmEuTmSn after structural relaxation (GGA-PBE, Alexandria).

Properties
Symmetry = No. 216
Density of states at the Fermi level = 5.0 states/eV/f.u.
ΔE_f = -0.91 eV per formula unit
Magnetic moment = 7.86 Bohr magnetons per cell
Density = 8.44 g cm⁻³

Unit cell a=5.476 b=5.476 c=5.476 alpha=60.00 beta=60.00 gamma=60.00
Fractional coordinates of all 4 atoms:
Sn (0.000, 0.000, 0.000)
Eu (0.500, 0.500, 0.500)
Tm (0.750, 0.750, 0.750)
Sm (0.250, 0.250, 0.250)



[5]
# NdSeBr

NdSeBr after structural relaxation (GGA-PBE, Alexandria).

Properties
Symmetry = No. 156
Density of states at the Fermi level = 0.0 states/eV/f.u.
Magnetic moment = 0.00 Bohr magnetons per cell
ΔE_f (raw) = -1817 meV/atom
Density = 4.50 g cm⁻³

Unit cell a=4.350 b=4.350 c=6.827 alpha=90.00 beta=90.00 gamma=120.00
Fractional coordinates of all 3 atoms:
Se (0.333, 0.667, 0.556)
Br (0.000, 0.000, 0.090)
Nd (0.667, 0.333, 0.354)



[6]
# Li2TaCr2S6

Li2TaCr2S6 after structural relaxation (GGA-PBE, Alexandria).

Properties
Symmetry = No. 12
Density of states at the Fermi level = 2.3 states/eV/f.u.
Magnetic moment = 3.02 Bohr magnetons per cell
ΔE_f (raw) = -915 meV/atom
Density = 4.43 g cm⁻³

Unit cell a=5.775 b=5.775 c=6.553 alpha=97.61 beta=97.61 gamma=119.27
Fractional coordinates of all 11 atoms:
S (0.734, 0.734, 0.744)
S (0.060, 0.412, 0.719)
S (0.266, 0.266, 0.256)
S (0.940, 0.588, 0.281)
S (0.588, 0.940, 0.281)
S (0.412, 0.060, 0.719)
Cr (0.642, 0.358, 0.500)
Cr (0.358, 0.642, 0.500)
Li (0.172, 0.828, 0.000)
Li (0.828, 0.172, 0.000)
Ta (0.000, 0.000, 0.500)



[7]
# TbPrSnPd

TbPrSnPd after structural relaxation (GGA-PBE, Alexandria).

Properties
Symmetry = No. 216
Density of states at the Fermi level = 2.9 states/eV/f.u.
ΔE_f = -2.76 eV per formula unit
Magnetic moment = 0.02 Bohr magnetons per cell
Density = 8.39 g cm⁻³

Unit cell a=5.278 b=5.278 c=5.278 alpha=60.00 beta=60.00 gamma=60.00
Fractional coordinates of all 4 atoms:
Sn (0.750, 0.750, 0.750)
Tb (0.000, 0.000, 0.000)
Pd (0.250, 0.250, 0.250)
Pr (0.500, 0.500, 0.500)



[8]
# Nd2ScPb2

Nd2ScPb2 after structural relaxation (GGA-PBE, Alexandria).

Properties
Symmetry = No. 71
Density of states at the Fermi level = 4.9 states/eV/f.u.
ΔE_f = -2.35 eV per formula unit
Magnetic moment = 0.00 Bohr magnetons per cell
Density = 8.17 g cm⁻³

Unit cell a=4.647 b=6.331 c=6.331 alpha=64.97 beta=68.47 gamma=68.47
Fractional coordinates of all 5 atoms:
Pb (0.500, 0.731, 0.269)
Pb (0.500, 0.269, 0.731)
Nd (0.199, 0.301, 0.301)
Nd (0.801, 0.699, 0.699)
Sc (0.000, 0.000, 0.000)



[9]
# Pu2ThCuP4

Pu2ThCuP4 after structural relaxation (GGA-PBE, Alexandria).

Properties
Symmetry = No. 63
Density of states at the Fermi level = 17.4 states/eV/f.u.
ΔE_f = -7.89 eV per formula unit
Magnetic moment = 17.98 Bohr magnetons per cell
Density = 8.85 g cm⁻³

Unit cell a=3.964 b=6.785 c=13.236 alpha=90.00 beta=90.00 gamma=106.98
Fractional coordinates of all 16 atoms:
Pu (0.367, 0.734, 0.560)
Pu (0.633, 0.266, 0.440)
Pu (0.633, 0.266, 0.060)
Pu (0.367, 0.734, 0.940)
P (0.000, 0.000, 0.500)
P (0.271, 0.542, 0.376)
P (0.451, 0.901, 0.750)
P (0.729, 0.458, 0.624)
P (0.000, 0.000, 0.000)
P (0.271, 0.542, 0.124)
P (0.549, 0.099, 0.250)
P (0.729, 0.458, 0.876)
Th (0.887, 0.775, 0.250)
Th (0.113, 0.225, 0.750)
Cu (0.853, 0.707, 0.750)
Cu (0.147, 0.293, 0.250)



[10]
# PuMg2Zn6

PuMg2Zn6 after structural relaxation (GGA-PBE, Alexandria).

Properties
Symmetry = No. 71
Density of states at the Fermi level = 9.3 states/eV/f.u.
ΔE_f = -0.59 eV per formula unit
Magnetic moment = 5.60 Bohr magnetons per cell
Density = 6.99 g cm⁻³

Unit cell a=2.955 b=8.128 c=8.128 alpha=58.51 beta=79.52 gamma=79.52
Fractional coordinates of all 9 atoms:
Mg (0.851, 0.649, 0.649)
Mg (0.149, 0.351, 0.351)
Zn (0.675, 0.648, 0.003)
Zn (0.325, 0.997, 0.352)
Zn (0.500, 0.664, 0.336)
Zn (0.500, 0.336, 0.664)
Zn (0.325, 0.352, 0.997)
Zn (0.675, 0.003, 0.648)
Pu (0.000, 0.000, 0.000)



[11]
# Tb3Tm2Ir2

Tb3Tm2Ir2 after structural relaxation (GGA-PBE, Alexandria).

Properties
Symmetry = No. 12
Density of states at the Fermi level = 5.5 states/eV/f.u.
ΔE_f = -4.42 eV per formula unit
Magnetic moment = 0.00 Bohr magnetons per cell
Density = 10.94 g cm⁻³

Unit cell a=3.859 b=6.289 c=8.725 alpha=114.10 beta=90.00 gamma=107.87
Fractional coordinates of all 7 atoms:
Tm (0.831, 0.663, 0.189)
Tm (0.169, 0.337, 0.811)
Tb (0.618, 0.236, 0.431)
Tb (0.382, 0.764, 0.569)
Tb (0.500, 0.000, 0.000)
Ir (0.180, 0.360, 0.233)
Ir (0.820, 0.640, 0.767)



[12]
# BaGa3Os

BaGa3Os after structural relaxation (GGA-PBE, Alexandria).

Properties
Symmetry = No. 99
Energy above the lowest structure with this stoichiometry = 529 meV/atom
Density of states at the Fermi level = 5.3 states/eV/f.u.
ΔE_f = 0.65 eV per formula unit
Magnetic moment = 0.34 Bohr magnetons per cell
Density = 7.80 g cm⁻³

Unit cell a=3.683 b=3.683 c=8.420 alpha=90.00 beta=90.00 gamma=90.00
Fractional coordinates of all 5 atoms:
Os (0.500, 0.500, 0.655)
Ga (0.500, 0.000, 0.419)
Ga (0.000, 0.000, 0.697)
Ga (0.000, 0.500, 0.419)
Ba (0.000, 0.000, 0.073)